## YTl2Cl (PBE)

Data for a geometry-optimized YTl2Cl structure.

POSCAR file:
```
YTl2Cl
1.0
6.6905 0.0000 0.0000
0.0000 9.0623 0.0000
0.0000 0.0000 3.5973
Y Tl Cl
2 4 2
direct
0.0000 0.0000 0.0000 Y
0.5000 0.5000 0.0000 Y
0.2500 0.2500 0.5000 Tl
0.2500 0.7500 0.5000 Tl
0.7500 0.2500 0.5000 Tl
0.7500 0.7500 0.5000 Tl
0.0000 0.5000 0.0000 Cl
0.5000 0.0000 0.0000 Cl
```

## Properties
**Final energy**: -3.73 eV/atom
**Energy relative to the lowest polymorph listed for this composition**: 278.3 meV per atom
**Total moment**: 0.0 μB/f.u.
**V**: 218 Å³/cell
**ΔE_f (raw)**: -0.47 eV per atom
**Theoretical density**: 8.1 g cm⁻³